This record from Alexandria describes Pm4PRu after structural relaxation. The functional is PBE.

Unit cell a=7.906 b=7.906 c=7.906 alpha=106.61 beta=106.61 gamma=115.37
Atoms (fractional coordinates):
Pm 0.702 0.505 0.197
Pm 0.255 0.952 0.697
Pm 0.307 0.505 0.803
Pm 0.193 0.993 0.200
Pm 0.255 0.557 0.303
Pm 0.743 0.443 0.700
Pm 0.743 0.043 0.300
Pm 0.793 0.993 0.800
P 0.255 0.255 0.000
P 0.005 0.505 0.500
Ru 0.499 0.999 0.500
Ru 0.749 0.749 0.000

## Properties
symmetry: I4_1md, No. 109
size of the total moment: 0.0 μB per formula unit
energy of formation from the pure elements: -483 meV/atom

***

This record from Alexandria describes PmPRu after structural relaxation. The functional is PBE.

Unit cell a=4.228 b=4.042 c=4.042 alpha=120.00 beta=90.00 gamma=90.00
Atoms (fractional coordinates):
Ru 0.165 0.333 0.667
P 0.167 0.000 0.000
Pm 0.667 0.667 0.333

## Properties
symmetry: P3m1, No. 156
size of the total moment: 0.0 μB per formula unit
energy of formation from the pure elements: -870 meV/atom
ΔE to the lowest computed polymorph: 114 meV per atom

***

This record from Alexandria describes PmPRu3 after structural relaxation. The functional is PBE.

Unit cell a=4.450 b=4.450 c=4.450 alpha=90.00 beta=90.00 gamma=90.00
Atoms (fractional coordinates):
P 0.000 0.000 0.000
Ru 0.000 0.000 0.500
Ru 0.000 0.500 0.000
Ru 0.500 0.000 0.000
Pm 0.500 0.500 0.500

## Properties
symmetry: Pm-3m, No. 221
size of the total moment: 0.0 μB per formula unit
energy of formation from the pure elements: -306 meV/atom

***

This record from Alexandria describes PmP2Ru3 after structural relaxation. The functional is PBE.

Unit cell a=3.946 b=8.143 c=9.646 alpha=107.54 beta=90.00 gamma=104.02
Atoms (fractional coordinates):
Ru 0.624 0.248 0.203
Ru 0.376 0.752 0.797
Ru 0.500 0.000 0.500
Ru 0.320 0.641 0.036
Ru 0.217 0.434 0.392
Ru 0.042 0.085 0.333
Ru 0.958 0.915 0.667
Ru 0.680 0.359 0.964
Ru 0.783 0.566 0.608
Pm 0.842 0.685 0.302
Pm 0.000 0.000 0.000
Pm 0.158 0.315 0.698
P 0.360 0.720 0.549
P 0.802 0.605 0.867
P 0.198 0.395 0.133
P 0.640 0.280 0.451
P 0.537 0.074 0.779
P 0.463 0.926 0.221

## Properties
symmetry: C2/m, No. 12
size of the total moment: 0.0 μB per formula unit
energy of formation from the pure elements: -772 meV/atom

***

This record from Alexandria describes PmP2Ru after structural relaxation. The functional is PBE.

Unit cell a=4.612 b=4.612 c=4.612 alpha=60.00 beta=60.00 gamma=60.00
Last column: magnetic moment on the atom in μB.
Atoms (fractional coordinates):
Pm 0.000 0.000 0.000  0.09
P 0.750 0.750 0.750  0.03
P 0.250 0.250 0.250  0.03
Ru 0.500 0.500 0.500  0.50

## Properties
symmetry: Fm-3m, No. 225
size of the total moment: 0.7 μB per formula unit
energy of formation from the pure elements: -383 meV/atom
ΔE to the lowest computed polymorph: 546 meV per atom

***

This record from Alexandria describes PmTaP2Ru after structural relaxation. The functional is PBE.

Unit cell a=3.949 b=3.949 c=6.481 alpha=107.74 beta=107.74 gamma=90.00
Atoms (fractional coordinates):
P 0.623 0.623 0.246
P 0.377 0.377 0.754
Ta 0.750 0.250 0.500
Ru 0.250 0.750 0.500
Pm 0.000 0.000 0.000

## Properties
symmetry: I-4m2, No. 119
size of the total moment: 0.0 μB per formula unit
energy of formation from the pure elements: -800 meV/atom

***

This record from Alexandria describes PmTiP2Ru after structural relaxation. The functional is PBE.

Unit cell a=3.909 b=3.909 c=6.392 alpha=107.81 beta=107.81 gamma=90.00
Atoms (fractional coordinates):
Pm 0.000 0.000 0.000
Ru 0.250 0.750 0.500
P 0.376 0.376 0.752
P 0.624 0.624 0.248
Ti 0.750 0.250 0.500

## Properties
symmetry: I-4m2, No. 119
size of the total moment: 0.0 μB per formula unit
energy of formation from the pure elements: -1040 meV/atom

***

This record from Alexandria describes PmVP2Ru after structural relaxation. The functional is PBE.

Unit cell a=4.073 b=4.073 c=5.771 alpha=110.66 beta=110.66 gamma=90.00
Last column: magnetic moment on the atom in μB.
Atoms (fractional coordinates):
Pm 0.000 0.000 0.000  0.07
P 0.627 0.627 0.254  -0.03
P 0.373 0.373 0.746  -0.03
V 0.750 0.250 0.500  1.59
Ru 0.250 0.750 0.500  0.20

## Properties
symmetry: I-4m2, No. 119
size of the total moment: 2.1 μB per formula unit
energy of formation from the pure elements: -943 meV/atom

***

This record from Alexandria describes PmZn2PRu2 after structural relaxation. The functional is PBE.

Unit cell a=4.383 b=4.383 c=5.692 alpha=90.00 beta=90.00 gamma=90.00
Atoms (fractional coordinates):
Zn 0.500 0.500 0.721
Zn 0.500 0.500 0.279
P 0.000 0.000 0.000
Pm 0.000 0.000 0.500
Ru 0.000 0.500 0.000
Ru 0.500 0.000 0.000

## Properties
symmetry: P4/mmm, No. 123
size of the total moment: 0.0 μB per formula unit
energy of formation from the pure elements: -414 meV/atom

***

This record from Alexandria describes Pm6PS12 after structural relaxation. The functional is PBE.

Unit cell a=7.841 b=7.841 c=7.841 alpha=98.31 beta=98.31 gamma=98.31
Atoms (fractional coordinates):
Pm 0.634 0.302 0.138
Pm 0.138 0.634 0.302
Pm 0.698 0.862 0.366
Pm 0.862 0.366 0.698
Pm 0.302 0.138 0.634
Pm 0.366 0.698 0.862
S 0.703 0.949 0.019
S 0.560 0.416 0.821
S 0.821 0.560 0.416
S 0.051 0.981 0.297
S 0.416 0.821 0.560
S 0.019 0.703 0.949
S 0.949 0.019 0.703
S 0.584 0.179 0.440
S 0.297 0.051 0.981
S 0.179 0.440 0.584
S 0.440 0.584 0.179
S 0.981 0.297 0.051
P 0.000 0.000 0.000

## Properties
symmetry: R-3, No. 148
size of the total moment: 0.0 μB per formula unit
E_form (uncorrected): -147.7 kJ per mole of atoms

***

This record from Alexandria describes Pm8P4S3 after structural relaxation. The functional is PBE.

Unit cell a=8.156 b=8.148 c=8.148 alpha=90.10 beta=119.94 gamma=119.94
Atoms (fractional coordinates):
P 0.500 0.000 0.000
P 0.000 0.000 0.000
P 0.000 0.500 0.000
P 0.000 0.000 0.500
S 0.500 0.000 0.500
S 0.500 0.500 0.000
S 0.500 0.500 0.500
Pm 0.510 0.757 0.757
Pm 0.490 0.243 0.243
Pm 0.500 0.247 0.753
Pm 0.000 0.754 0.246
Pm 0.500 0.753 0.247
Pm 0.000 0.246 0.754
Pm 0.003 0.753 0.753
Pm 0.997 0.247 0.247

## Properties
symmetry: C2/m, No. 12
size of the total moment: 0.0 μB per formula unit
E_form (uncorrected): -163.3 kJ per mole of atoms

***

This record from Alexandria describes Pm3P5S12 after structural relaxation. The functional is PBE.

Unit cell a=13.178 b=13.178 c=13.178 alpha=109.47 beta=109.47 gamma=109.47
Atoms (fractional coordinates):
S 0.472 0.796 0.879
S 0.121 0.418 0.094
S 0.528 0.324 0.906
S 0.704 0.582 0.176
S 0.918 0.094 0.621
S 0.204 0.676 0.082
S 0.094 0.176 0.472
S 0.296 0.879 0.972
S 0.028 0.621 0.704
S 0.918 0.824 0.796
S 0.972 0.379 0.296
S 0.879 0.582 0.906
S 0.906 0.082 0.879
S 0.176 0.094 0.972
S 0.379 0.972 0.796
S 0.324 0.528 0.406
S 0.621 0.594 0.918
S 0.906 0.824 0.528
S 0.472 0.676 0.094
S 0.676 0.204 0.582
S 0.704 0.121 0.028
S 0.879 0.296 0.472
S 0.796 0.324 0.918
S 0.528 0.204 0.121
S 0.824 0.906 0.028
S 0.796 0.472 0.379
S 0.204 0.528 0.621
S 0.082 0.176 0.204
S 0.594 0.972 0.676
S 0.594 0.621 0.418
S 0.121 0.704 0.528
S 0.582 0.704 0.676
S 0.176 0.082 0.704
S 0.582 0.879 0.406
S 0.094 0.918 0.121
S 0.324 0.796 0.418
S 0.406 0.379 0.582
S 0.621 0.028 0.204
S 0.296 0.418 0.824
S 0.406 0.028 0.324
S 0.379 0.406 0.082
S 0.418 0.296 0.324
S 0.418 0.121 0.594
S 0.082 0.906 0.379
S 0.028 0.406 0.824
S 0.676 0.472 0.594
S 0.972 0.594 0.176
S 0.824 0.918 0.296
P 0.375 0.250 0.125
P 0.000 0.500 0.500
P 0.500 0.000 0.500
P 0.125 0.750 0.375
P 0.375 0.125 0.750
P 0.000 0.500 0.000
P 0.125 0.375 0.250
P 0.750 0.125 0.875
P 0.500 0.500 0.500
P 0.625 0.750 0.875
P 0.500 0.000 0.000
P 0.875 0.250 0.625
P 0.500 0.500 0.000
P 0.250 0.375 0.625
P 0.000 0.000 0.500
P 0.250 0.875 0.125
P 0.875 0.625 0.750
P 0.625 0.875 0.250
P 0.000 0.000 0.000
P 0.750 0.625 0.375
Pm 0.375 0.750 0.625
Pm 0.250 0.125 0.375
Pm 0.750 0.375 0.125
Pm 0.250 0.625 0.875
Pm 0.125 0.250 0.875
Pm 0.625 0.375 0.750
Pm 0.375 0.625 0.250
Pm 0.875 0.750 0.125
Pm 0.875 0.125 0.250
Pm 0.125 0.875 0.750
Pm 0.750 0.875 0.625
Pm 0.625 0.250 0.375

## Properties
symmetry: Ia-3d, No. 230
size of the total moment: 0.0 μB per formula unit
E_form (uncorrected): -58.5 kJ per mole of atoms